HfMnSn2: optimized geometry, PBE-GGA.

a b c (Å): 10.5412 10.5412 10.5412
angles (deg): 17.58 17.58 17.58
Fractional coordinates of all 4 atoms:
Hf 0.0000 0.0000 0.0000
Mn 0.5000 0.5000 0.5000
Sn 0.4131 0.4131 0.4131
Sn 0.5869 0.5869 0.5869

Offset from the most stable computed form = 24.93 kJ/mol of atoms
Space-group type = R-3m
Energy of formation = 0.23 eV per atom